[1]
Here is TbMgAu at its PBEsol-relaxed geometry from Alexandria via LeMat-Bulk. Energies are from meta-GGA SCAN.

Cell and atoms, written as CIF:
```
data_TbMgAu
_chemical_formula_sum 'Tb3 Mg3 Au3'
_cell_length_a 7.5390
_cell_length_b 7.5390
_cell_length_c 4.0329
_cell_angle_alpha 90.00
_cell_angle_beta 90.00
_cell_angle_gamma 120.00
_space_group_name_H-M_alt 'P -6 2 m'
_space_group_IT_number 189
_space_group_name_Hall 'P -6 -2'
loop_
_atom_site_label
_atom_site_type_symbol
_atom_site_fract_x
_atom_site_fract_y
_atom_site_fract_z
_atom_site_occupancy
Tb1 Tb 0.0000 0.5879 0.0000 1
Mg1 Mg 0.0000 0.2467 0.5000 1
Au1 Au 0.0000 0.0000 0.0000 1
Au2 Au 0.3333 0.6667 0.5000 1
```

Summary:
**Size of the total moment**: 0.00 μB/cell
**DOS(E_F)**: 5.8 states/eV/cell
**Formation enthalpy at 0 K**: -0.902 eV/atom
**Calculated density**: 9.54 g/cm³

=====

[2]
Here is MgTcAu4 at its PBEsol-relaxed geometry from Alexandria via LeMat-Bulk. Energies are from meta-GGA SCAN.

Cell and atoms, written as CIF:
```
data_MgTcAu4
_chemical_formula_sum 'Mg4 Tc4 Au16'
_cell_length_a 7.592
_cell_length_b 7.592
_cell_length_c 7.592
_cell_angle_alpha 90.00
_cell_angle_beta 90.00
_cell_angle_gamma 90.00
_space_group_name_H-M_alt 'F -4 3 m'
_space_group_IT_number 216
_space_group_name_Hall 'F -4 2 3'
loop_
_atom_site_label
_atom_site_type_symbol
_atom_site_fract_x
_atom_site_fract_y
_atom_site_fract_z
_atom_site_occupancy
Mg1 Mg 0.000 0.000 0.000 1
Tc1 Tc 0.250 0.250 0.750 1
Au1 Au 0.125 0.125 0.375 1
```

Summary:
**Size of the total moment**: 14.67 μB/cell
**DOS(E_F)**: 8.2 states/eV/cell
**Formation enthalpy at 0 K**: 0.166 eV/atom
**Calculated density**: 13.82 g/cm³